No. 1
Computed, not measured: Ho2UNi9 after structural relaxation at the PBE level of DFT.

```
data_Ho2UNi9
_chemical_formula_sum 'Ho6 U3 Ni27'
_cell_length_a 4.9157
_cell_length_b 4.9157
_cell_length_c 24.4100
_cell_angle_alpha 90.00
_cell_angle_beta 90.00
_cell_angle_gamma 120.00
_space_group_name_H-M_alt 'R -3 m'
_space_group_IT_number 166
_space_group_name_Hall '-R 3 2"'
loop_
_atom_site_label
_atom_site_type_symbol
_atom_site_fract_x
_atom_site_fract_y
_atom_site_fract_z
Ho1 Ho 0.0000 0.0000 0.1392
U1 U 0.0000 0.0000 0.0000
Ni1 Ni 0.0000 0.0000 0.3332
Ni2 Ni 0.0000 0.0000 0.5000
Ni3 Ni 0.0008 0.5004 0.9179
```

Results
ΔE_f: -33.7 kJ per mole of atoms
Fermi-level density of states: 44.91 states/eV/cell

***

No. 2
Computed, not measured: NaTbPrGa after structural relaxation at the PBE level of DFT.

```
data_NaTbPrGa
_chemical_formula_sum 'Na4 Tb4 Pr4 Ga4'
_cell_length_a 7.5485
_cell_length_b 7.5485
_cell_length_c 7.5485
_cell_angle_alpha 90.00
_cell_angle_beta 90.00
_cell_angle_gamma 90.00
_space_group_name_H-M_alt 'F -4 3 m'
_space_group_IT_number 216
_space_group_name_Hall 'F -4 2 3'
loop_
_atom_site_label
_atom_site_type_symbol
_atom_site_fract_x
_atom_site_fract_y
_atom_site_fract_z
Na1 Na 0.0000 0.0000 0.0000
Tb1 Tb 0.2500 0.2500 0.7500
Pr1 Pr 0.2500 0.2500 0.2500
Ga1 Ga 0.0000 0.0000 0.5000
```

Results
ΔE_f: -13.0 kJ per mole of atoms
Fermi-level density of states: 19.00 states/eV/cell

***

Number 1: calculated total energy -6.3892 eV/atom. Number 2: calculated total energy -3.5736 eV/atom.